[1]
Material: Zr6Al3H
Method: DFT, PBE
State: relaxed

abc: 5.5984 7.5886 10.4897
angles: 90.00 119.01 90.00
Closest atoms and distances in Å follow each position.
Positions (direct):
Zr 0.0809 0.0382 0.2210  1 H 2.16
Zr 0.0809 0.4618 0.7210  1 H 2.16
Zr 0.1404 0.6925 0.0510  1 H 2.44
Zr 0.1404 0.8075 0.5510  1 H 2.44
Zr 0.4183 0.1563 0.0480  1 H 2.45, 1 Al 2.74
Zr 0.4183 0.3437 0.5480  1 H 2.45, 1 Al 2.74
Zr 0.5817 0.6563 0.4520  1 H 2.45, 1 Al 2.74
Zr 0.5817 0.8437 0.9520  1 H 2.45, 1 Al 2.74
Zr 0.8596 0.1925 0.4490  1 H 2.44
Zr 0.8596 0.3075 0.9490  1 H 2.44
Zr 0.9191 0.5382 0.2790  1 H 2.16
Zr 0.9191 0.9618 0.7790  1 H 2.16
Al 0.3555 0.1180 0.7417  8 Zr 2.81-3.07, 1 Al 3.14
Al 0.3555 0.3820 0.2417  8 Zr 2.81-3.07, 1 Al 3.14
Al 0.5000 0.0000 0.5000  6 Zr 2.74
Al 0.5000 0.5000 0.0000  6 Zr 2.74
Al 0.6445 0.6180 0.7583  8 Zr 2.81-3.07, 1 Al 3.14
Al 0.6445 0.8820 0.2583  8 Zr 2.81-3.07, 1 Al 3.14
H 0.0000 0.0000 0.0000  2 Zr 2.16
H 0.0000 0.5000 0.5000  2 Zr 2.16

Values from the calculation:
VASP energy: -136.268 eV/cell



[2]
Material: In2ICl
Method: DFT, PBE
State: relaxed

abc: 5.6983 5.6983 4.1210
angles: 90.00 90.00 90.00
Closest atoms and distances in Å follow each position.
Positions (direct):
In 0.0000 0.5000 0.0000  4 Cl 3.52, 4 I 3.52
In 0.5000 0.0000 0.0000  4 Cl 3.52, 4 I 3.52
I 0.0000 0.0000 0.5000  8 In 3.52
Cl 0.5000 0.5000 0.5000  8 In 3.52

Values from the calculation:
VASP energy: -11.071 eV/cell
polymorph energy (0 for the lowest one): 68 meV per atom
formation energy without anion corrections: -0.55 eV/atom



[3]
Material: CuPd2Pt7
Method: DFT, PBE
State: relaxed

abc: 7.8342 7.8342 3.8123
angles: 90.00 90.00 124.78
Closest atoms and distances in Å follow each position.
Positions (direct):
Cu 0.0000 0.0000 0.0000  10 Pt 2.59-2.72
Pd 0.3095 0.6905 0.5000  5 Pt 2.56-2.64
Pd 0.6905 0.3095 0.5000  5 Pt 2.56-2.64
Pt 0.0913 0.2873 0.5000  1 Pd 2.60, 5 Pt 2.63-2.75, 2 Cu 2.72
Pt 0.1863 0.8137 0.0000  2 Pd 2.56, 1 Cu 2.59, 4 Pt 2.65
Pt 0.2873 0.0913 0.5000  1 Pd 2.60, 5 Pt 2.63-2.75, 2 Cu 2.72
Pt 0.5000 0.5000 0.5000  4 Pt 2.63, 2 Pd 2.64
Pt 0.7127 0.9087 0.5000  1 Pd 2.60, 5 Pt 2.63-2.75, 2 Cu 2.72
Pt 0.8137 0.1863 0.0000  2 Pd 2.56, 1 Cu 2.59, 4 Pt 2.65
Pt 0.9087 0.7127 0.5000  1 Pd 2.60, 5 Pt 2.63-2.75, 2 Cu 2.72

Values from the calculation:
VASP energy: -52.082 eV/cell
energy relative to the elements: 4.685 eV/f.u.



[4]
Material: Y8Ga2Os
Method: DFT, PBE
State: relaxed

abc: 9.3555 9.3555 6.7207
angles: 104.51 104.51 31.30
Closest atoms and distances in Å follow each position.
Positions (direct):
Y 0.0244 0.0244 0.2874  2 Os 2.99, 1 Ga 3.05, 1 Y 3.20
Y 0.2051 0.2051 0.8109  3 Ga 2.94-3.24
Y 0.3451 0.3451 0.5357  1 Os 2.86, 3 Ga 3.03-3.09
Y 0.4107 0.4107 0.0606  1 Os 2.97
Y 0.5893 0.5893 0.9394  1 Os 2.97
Y 0.6549 0.6549 0.4643  1 Os 2.86, 3 Ga 3.03-3.09
Y 0.7949 0.7949 0.1891  3 Ga 2.94-3.24
Y 0.9756 0.9756 0.7126  2 Os 2.99, 1 Ga 3.05, 1 Y 3.20
Ga 0.1873 0.1873 0.2342  7 Y 2.94-3.24
Ga 0.8127 0.8127 0.7658  7 Y 2.94-3.24
Os 0.5000 0.5000 0.5000  8 Y 2.86-2.99

Values from the calculation:
VASP energy: -72.175 eV/cell
polymorph energy (0 for the lowest one): 0 meV per atom
energy relative to the elements: -3.179 eV/f.u.